# ZnCuTe2

An optimized crystal structure of ZnCuTe2 (PBE, Alexandria).

Properties
Energy relative to the lowest polymorph listed for this composition, meV/atom: 322.7
DFT total energy, eV per cell: -11.3

Cell: 5.026 5.593 4.421 Å, 76.05 72.20 116.77°
Positions (direct):
Cu: 0.500 0.000 0.500
Te: 0.000 0.000 0.000
Te: 0.000 0.500 0.500
Zn: 0.500 0.500 0.000